w | ## Hf3N4 (PBE)

Data for crystalline Hf3N4 at its relaxed geometry.

Cell lengths 9.7402, 3.2340, 10.6812 Å; angles 90.00, 90.00, 90.00 degrees
With the nearest neighbours (Å) after each atom.
Atoms (fractional coordinates):
1 Hf 0.0695 0.2500 0.1243  5 N 2.08-2.33
2 Hf 0.1072 0.2500 0.5929  4 N 2.08-2.17
3 Hf 0.2280 0.2500 0.8529  6 N 2.07-2.30
4 Hf 0.2720 0.7500 0.3529  6 N 2.07-2.30
5 Hf 0.3928 0.7500 0.0929  4 N 2.08-2.17
6 Hf 0.4305 0.7500 0.6243  5 N 2.08-2.33
7 Hf 0.5695 0.2500 0.3757  5 N 2.08-2.33
8 Hf 0.6072 0.2500 0.9071  4 N 2.08-2.17
9 Hf 0.7280 0.2500 0.6471  6 N 2.07-2.30
10 Hf 0.7720 0.7500 0.1471  6 N 2.07-2.30
11 Hf 0.8928 0.7500 0.4071  4 N 2.08-2.17
12 Hf 0.9305 0.7500 0.8757  5 N 2.08-2.33
13 N 0.0075 0.2500 0.7747  4 Hf 2.08-2.30
14 N 0.1030 0.7500 0.4699  4 Hf 2.07-2.15
15 N 0.1424 0.7500 0.9825  5 Hf 2.29-2.36
16 N 0.2374 0.7500 0.7143  3 Hf 2.11-2.19
17 N 0.2626 0.2500 0.2143  3 Hf 2.11-2.19
18 N 0.3576 0.2500 0.4825  5 Hf 2.29-2.36
19 N 0.3970 0.2500 0.9699  4 Hf 2.07-2.15
20 N 0.4925 0.7500 0.2747  4 Hf 2.08-2.30
21 N 0.5075 0.2500 0.7253  4 Hf 2.08-2.30
22 N 0.6030 0.7500 0.0301  4 Hf 2.07-2.15
23 N 0.6424 0.7500 0.5175  5 Hf 2.29-2.36
24 N 0.7374 0.7500 0.7857  3 Hf 2.11-2.19
25 N 0.7626 0.2500 0.2857  3 Hf 2.11-2.19
26 N 0.8576 0.2500 0.0175  5 Hf 2.29-2.36
27 N 0.8970 0.2500 0.5301  4 Hf 2.07-2.15
28 N 0.9925 0.7500 0.2253  4 Hf 2.08-2.30

Values from the calculation:
Volume in Å³ per cell: 336.46
Total moment in μB per formula unit: 0.00
Space-group type: No. 62



x | ## Hf3N4 (PBE)

Data for crystalline Hf3N4 at its relaxed geometry.

Cell lengths 8.6203, 8.6203, 3.5640 Å; angles 90.00, 90.00, 120.00 degrees
With the nearest neighbours (Å) after each atom.
Atoms (fractional coordinates):
1 Hf 0.1430 0.7361 0.2500  4 N 2.01-2.06
2 Hf 0.2639 0.4070 0.2500  4 N 2.01-2.06
3 Hf 0.4070 0.1430 0.7500  4 N 2.01-2.06
4 Hf 0.5930 0.8570 0.2500  4 N 2.01-2.06
5 Hf 0.7361 0.5930 0.7500  4 N 2.01-2.06
6 Hf 0.8570 0.2639 0.7500  4 N 2.01-2.06
7 N 0.0042 0.6791 0.7500  3 Hf 2.04-2.06
8 N 0.3209 0.3251 0.7500  3 Hf 2.04-2.06
9 N 0.3251 0.0042 0.2500  3 Hf 2.04-2.06
10 N 0.3333 0.6667 0.2500  3 Hf 2.01
11 N 0.6667 0.3333 0.7500  3 Hf 2.01
12 N 0.6749 0.9958 0.7500  3 Hf 2.04-2.06
13 N 0.6791 0.6749 0.2500  3 Hf 2.04-2.06
14 N 0.9958 0.3209 0.2500  3 Hf 2.04-2.06

Values from the calculation:
Volume in Å³ per cell: 229.36
Total moment in μB per formula unit: 0.00
Space-group type: No. 176



y | ## Hf3N4 (PBE)

Data for crystalline Hf3N4 at its relaxed geometry.

Cell lengths 5.5180, 5.5180, 5.6247 Å; angles 104.73, 104.73, 33.67 degrees
With the nearest neighbours (Å) after each atom.
Atoms (fractional coordinates):
1 Hf 0.0000 0.0000 0.0000  6 N 2.16-2.23
2 Hf 0.2279 0.2279 0.7269  6 N 2.11-2.32
3 Hf 0.7721 0.7721 0.2731  6 N 2.11-2.32
4 N 0.1542 0.1542 0.3405  4 Hf 2.11-2.16
5 N 0.3798 0.3798 0.1099  5 Hf 2.23-2.32
6 N 0.6202 0.6202 0.8901  5 Hf 2.23-2.32
7 N 0.8458 0.8458 0.6595  4 Hf 2.11-2.16

Values from the calculation:
Volume in Å³ per cell: 91.53
Total moment in μB per formula unit: 0.00
Space-group type: No. 12



Which one sits at the top of the stability order? y does.